[1]
The following is a DFT calculation (PBE) of KMoW2 after structural relaxation.

Cell: 3.181 4.600 10.622 Å, 90.00 90.00 90.00°
Fractional positions:
1 K 0.000 0.000 0.000
2 K 0.500 0.500 0.000
3 Mo 0.000 0.500 0.703
4 Mo 0.500 0.000 0.703
5 W 0.000 0.000 0.500
6 W 0.000 0.500 0.295
7 W 0.500 0.000 0.295
8 W 0.500 0.500 0.500

Summary:
Offset from the most stable computed form ... 0.0 meV per atom
Final energy ... -34.70 eV per formula unit
Space group ... Cmm2
Formation enthalpy at 0 K ... 3.1 eV per formula unit
Crystal system ... orthorhombic


[2]
The following is a DFT calculation (PBE) of K2MoW after structural relaxation.

Cell: 5.473 12.554 2.790 Å, 90.00 112.32 90.00°
Fractional positions:
1 K 0.250 0.250 0.000
2 K 0.250 0.750 0.000
3 K 0.750 0.250 0.000
4 K 0.750 0.750 0.000
5 Mo 0.000 0.000 0.500
6 Mo 0.500 0.500 0.500
7 W 0.000 0.500 0.500
8 W 0.500 0.000 0.500

Summary:
Offset from the most stable computed form ... 600.1 meV per atom
Final energy ... -19.93 eV per formula unit
Space group ... C2/m
Formation enthalpy at 0 K ... 6.0 eV per formula unit
Crystal system ... monoclinic


[3]
The following is a DFT calculation (PBE) of KMoW2 after structural relaxation.

Cell: 5.000 5.000 17.473 Å, 90.00 90.00 90.00°
Fractional positions:
1 K 0.000 0.000 0.000
2 K 0.000 0.500 0.250
3 K 0.500 0.000 0.750
4 K 0.500 0.500 0.500
5 Mo 0.000 0.000 0.500
6 Mo 0.000 0.500 0.750
7 Mo 0.500 0.000 0.250
8 Mo 0.500 0.500 0.000
9 W 0.059 0.250 0.625
10 W 0.250 0.559 0.875
11 W 0.250 0.941 0.375
12 W 0.441 0.250 0.125
13 W 0.559 0.750 0.125
14 W 0.750 0.059 0.375
15 W 0.750 0.441 0.875
16 W 0.941 0.750 0.625

Summary:
Offset from the most stable computed form ... 1323.8 meV per atom
Final energy ... -29.41 eV per formula unit
Space group ... I-42d
Formation enthalpy at 0 K ... 8.4 eV per formula unit
Crystal system ... tetragonal


[4]
The following is a DFT calculation (PBE) of KMoW2 after structural relaxation.

Cell: 5.833 9.955 2.656 Å, 90.00 108.31 90.00°
Fractional positions:
1 K 0.000 0.000 0.000
2 K 0.500 0.500 0.000
3 Mo 0.000 0.500 0.000
4 Mo 0.500 0.000 0.000
5 W 0.250 0.250 0.500
6 W 0.250 0.750 0.500
7 W 0.750 0.250 0.500
8 W 0.750 0.750 0.500

Summary:
Offset from the most stable computed form ... 735.7 meV per atom
Final energy ... -31.76 eV per formula unit
Space group ... C2/m
Formation enthalpy at 0 K ... 6.1 eV per formula unit
Crystal system ... monoclinic


[5]
The following is a DFT calculation (PBE) of KMoW2 after structural relaxation.

Cell: 9.394 2.638 7.551 Å, 90.00 90.20 90.00°
Fractional positions:
1 K 0.000 0.000 0.000
2 K 0.500 0.500 0.000
3 Mo 0.000 0.500 0.500
4 Mo 0.500 0.000 0.500
5 W 0.245 0.000 0.655
6 W 0.255 0.500 0.345
7 W 0.745 0.500 0.655
8 W 0.755 0.000 0.345

Summary:
Offset from the most stable computed form ... 453.3 meV per atom
Final energy ... -32.89 eV per formula unit
Space group ... C2/m
Formation enthalpy at 0 K ... 4.9 eV per formula unit
Crystal system ... monoclinic


[6]
The following is a DFT calculation (PBE) of KYMo after structural relaxation.

Cell: 5.557 5.557 2.800 Å, 90.00 90.00 120.00°
Fractional positions:
1 K 0.000 0.000 0.000
2 Y 0.333 0.667 0.000
3 Mo 0.667 0.333 0.500

Summary:
Offset from the most stable computed form ... 285.5 meV per atom
Final energy ... -14.79 eV per formula unit
Space group ... P-6m2
Formation enthalpy at 0 K ... 3.6 eV per formula unit
Crystal system ... hexagonal